Record 1
Density functional theory data (PBE) for a relaxed LaTaSn2Ir crystal.

Properties
- Crystal system: tetragonal
- Calculated total energy: -6.185 eV per atom
- DOS(E_F): 6.06 states/eV/f.u.

Unit cell a=5.1380 b=5.3159 c=5.1380 alpha=90.00 beta=90.00 gamma=90.00
Last column: nearest neighbours and their distance in Å.
Fractional positions:
Ta (0.5000, 0.5000, 0.5000)  4 La 3.63, 8 Sn 3.70
Ir (0.0000, 0.0000, 0.0000)  4 Sn 2.57, 2 La 2.66
Sn (0.5000, 0.0000, 0.0000)  2 Ir 2.57
Sn (0.0000, 0.0000, 0.5000)  2 Ir 2.57
La (0.0000, 0.5000, 0.0000)  2 Ir 2.66


Record 2
Density functional theory data (PBE) for a relaxed La2ScP3Rh4 crystal.

Properties
- Crystal system: tetragonal
- Calculated total energy: -7.301 eV per atom
- DOS(E_F): 6.13 states/eV/f.u.

Unit cell a=4.0500 b=4.0500 c=10.9080 alpha=90.00 beta=90.00 gamma=90.00
Last column: nearest neighbours and their distance in Å.
Fractional positions:
La (0.0000, 0.5000, 0.7660)  4 P 3.09, 8 Rh 3.12-3.26
Rh (0.0000, 0.0000, 0.0000)  4 P 2.46
La (0.5000, 0.0000, 0.2340)  4 P 3.09, 8 Rh 3.12-3.26
Sc (0.5000, 0.5000, 0.5000)  4 Rh 2.62, 4 P 2.86
Rh (0.5000, 0.0000, 0.6518)  3 P 2.41-2.62, 2 Sc 2.62
P (0.0000, 0.0000, 0.5000)  4 Rh 2.62, 4 Sc 2.86
Rh (0.0000, 0.5000, 0.3482)  3 P 2.41-2.62, 2 Sc 2.62
P (0.0000, 0.5000, 0.1276)  5 Rh 2.41-2.46
Rh (0.5000, 0.5000, 0.0000)  4 P 2.46
P (0.5000, 0.0000, 0.8724)  5 Rh 2.41-2.46


Record 3
Density functional theory data (PBE) for a relaxed ErZr2Be crystal.

Properties
- Crystal system: tetragonal
- Calculated total energy: -6.277 eV per atom
- DOS(E_F): 4.71 states/eV/f.u.

Unit cell a=3.1534 b=3.1534 c=8.4425 alpha=90.00 beta=90.00 gamma=90.00
Last column: nearest neighbours and their distance in Å.
Fractional positions:
Zr (0.0000, 0.0000, 0.1924)  4 Be 2.76
Be (0.5000, 0.5000, 0.0000)  8 Zr 2.76
Zr (0.0000, 0.0000, 0.8076)  4 Be 2.76
Er (0.5000, 0.5000, 0.5000)  4 Er 3.15, 8 Zr 3.42


Record 4
Density functional theory data (PBE) for a relaxed Al2ZnB crystal.

Properties
- Crystal system: cubic
- Calculated total energy: -3.237 eV per atom
- DOS(E_F): 2.59 states/eV/f.u.

Unit cell a=4.2580 b=4.2580 c=4.2580 alpha=60.00 beta=60.00 gamma=60.00
Last column: nearest neighbours and their distance in Å.
Fractional positions:
Al (0.2500, 0.2500, 0.2500)  4 B 2.61, 4 Zn 2.61
Zn (0.5000, 0.5000, 0.5000)  8 Al 2.61
B (0.0000, 0.0000, 0.0000)  8 Al 2.61
Al (0.7500, 0.7500, 0.7500)  4 B 2.61, 4 Zn 2.61


Record 5
Density functional theory data (PBE) for a relaxed BeAgBiC2 crystal.

Properties
- Crystal system: tetragonal
- Calculated total energy: -3.951 eV per atom
- DOS(E_F): 2.88 states/eV/f.u.

Unit cell a=3.9225 b=4.8054 c=3.9225 alpha=90.00 beta=90.00 gamma=90.00
Last column: nearest neighbours and their distance in Å.
Fractional positions:
C (0.5000, 0.0000, 0.0000)  2 Be 1.96
Ag (0.0000, 0.5000, 0.0000)  2 Be 2.40
C (0.0000, 0.0000, 0.5000)  2 Be 1.96
Bi (0.5000, 0.5000, 0.5000)  4 Ag 2.77, 8 C 3.10
Be (0.0000, 0.0000, 0.0000)  4 C 1.96


Record 6
Density functional theory data (PBE) for a relaxed Fe2CuTe crystal.

Properties
- Crystal system: tetragonal
- Formation energy without anion corrections: 0.3300 eV per atom
- DOS(E_F): 4.96 states/eV/f.u.

Unit cell a=4.8738 b=4.8738 c=3.8081 alpha=66.99 beta=66.99 gamma=45.93
Last column: nearest neighbours and their distance in Å.
Fractional positions:
Te (0.7500, 0.7500, 0.7500)  4 Cu 2.69, 8 Fe 2.78
Fe (0.5000, 0.5000, 0.5000)  4 Fe 2.69, 4 Cu 2.78, 4 Te 2.78
Fe (0.0000, 0.0000, 0.0000)  4 Fe 2.69, 4 Cu 2.78, 4 Te 2.78
Cu (0.2500, 0.2500, 0.2500)  4 Te 2.69, 8 Fe 2.78


Record 7
Density functional theory data (PBE) for a relaxed NdYEr3Sc crystal.

Properties
- Crystal system: monoclinic
- Calculated total energy: -5.188 eV per atom
- DOS(E_F): 9.05 states/eV/f.u.

Unit cell a=3.5477 b=8.7159 c=13.2119 alpha=116.01 beta=90.00 gamma=90.00
Last column: nearest neighbours and their distance in Å.
Fractional positions:
Y (0.7500, 0.9280, 0.7669)  7 Er 3.46-3.55, 2 Nd 3.52, 2 Y 3.55, 1 Sc 3.57
Er (0.2500, 0.5678, 0.7410)  1 Nd 3.42, 2 Sc 3.45, 2 Y 3.49, 7 Er 3.50-3.58
Er (0.7500, 0.3226, 0.4852)  7 Er 3.44-3.58, 3 Nd 3.52-3.57, 2 Y 3.55
Y (0.2500, 0.0720, 0.2331)  7 Er 3.46-3.55, 2 Nd 3.52, 2 Y 3.55, 1 Sc 3.57
Er (0.2500, 0.1835, 0.0123)  3 Sc 3.41-3.42, 3 Y 3.46-3.50, 6 Er 3.50-3.55
Nd (0.7500, 0.8677, 0.3696)  4 Er 3.42-3.57, 2 Y 3.52, 4 Nd 3.55-3.66, 2 Sc 3.56
Er (0.2500, 0.6774, 0.5148)  7 Er 3.44-3.58, 3 Nd 3.52-3.57, 2 Y 3.55
Sc (0.7500, 0.3824, 0.8829)  4 Sc 3.37-3.55, 5 Er 3.41-3.45, 2 Nd 3.56, 1 Y 3.57
Er (0.7500, 0.8165, 0.9877)  3 Sc 3.41-3.42, 3 Y 3.46-3.50, 6 Er 3.50-3.55
Nd (0.2500, 0.1323, 0.6304)  4 Er 3.42-3.57, 2 Y 3.52, 4 Nd 3.55-3.66, 2 Sc 3.56
Er (0.7500, 0.4322, 0.2590)  1 Nd 3.42, 2 Sc 3.45, 2 Y 3.49, 7 Er 3.50-3.58
Sc (0.2500, 0.6176, 0.1171)  4 Sc 3.37-3.55, 5 Er 3.41-3.45, 2 Nd 3.56, 1 Y 3.57


Record 8
Density functional theory data (PBE) for a relaxed Pr3TmCd crystal.

Properties
- Crystal system: monoclinic
- Calculated total energy: -3.993 eV per atom
- DOS(E_F): 6.15 states/eV/f.u.

Unit cell a=6.3886 b=10.5139 c=10.1248 alpha=107.17 beta=90.00 gamma=90.00
Last column: nearest neighbours and their distance in Å.
Fractional positions:
Pr (0.5521, 0.8148, 0.4999)  1 Cd 3.25, 2 Tm 3.43-3.63, 2 Pr 3.54-3.57
Cd (0.6750, 0.5010, 0.4129)  1 Cd 2.85
Pr (0.4479, 0.1852, 0.5001)  1 Cd 3.25, 2 Tm 3.43-3.63, 2 Pr 3.54-3.57
Tm (0.6070, 0.6031, 0.1460)  1 Cd 3.22, 1 Tm 3.39, 3 Pr 3.43-3.52
Pr (0.0521, 0.6852, 0.0001)  1 Cd 3.25, 2 Tm 3.43-3.63, 2 Pr 3.54-3.57
Pr (0.9479, 0.3148, 0.9999)  1 Cd 3.25, 2 Tm 3.43-3.63, 2 Pr 3.54-3.57
Cd (0.3250, 0.4990, 0.5871)  1 Cd 2.85
Pr (0.1338, 0.5568, 0.3042)  2 Cd 3.25-3.33, 2 Tm 3.47-3.52, 1 Pr 3.57
Pr (0.4674, 0.2691, 0.1534)  2 Cd 3.29-3.30, 3 Pr 3.54-3.65, 1 Tm 3.65
Tm (0.3930, 0.3969, 0.8540)  1 Cd 3.22, 1 Tm 3.39, 3 Pr 3.43-3.52
Pr (0.0326, 0.7691, 0.6534)  2 Cd 3.29-3.30, 3 Pr 3.54-3.65, 1 Tm 3.65
Cd (0.8250, 0.0010, 0.9129)  1 Cd 2.85
Pr (0.6338, 0.9432, 0.1958)  2 Cd 3.25-3.33, 2 Tm 3.47-3.52, 1 Pr 3.57
Pr (0.8662, 0.4432, 0.6958)  2 Cd 3.25-3.33, 2 Tm 3.47-3.52, 1 Pr 3.57
Pr (0.3661, 0.0568, 0.8042)  2 Cd 3.25-3.33, 2 Tm 3.47-3.52, 1 Pr 3.57
Pr (0.9674, 0.2309, 0.3466)  2 Cd 3.29-3.30, 3 Pr 3.54-3.65, 1 Tm 3.65
Pr (0.5326, 0.7309, 0.8466)  2 Cd 3.29-3.30, 3 Pr 3.54-3.65, 1 Tm 3.65
Tm (0.8930, 0.1031, 0.6460)  1 Cd 3.22, 1 Tm 3.39, 3 Pr 3.43-3.52
Tm (0.1070, 0.8969, 0.3540)  1 Cd 3.22, 1 Tm 3.39, 3 Pr 3.43-3.52
Cd (0.1750, 0.9990, 0.0871)  1 Cd 2.85


Record 9
Density functional theory data (PBE) for a relaxed Pm2PrMoN4 crystal.

Properties
- Crystal system: orthorhombic
- Formation energy without anion corrections: -1.0049 eV per atom
- DOS(E_F): 2.46 states/eV/f.u.

Unit cell a=3.5124 b=6.2924 c=12.2168 alpha=90.00 beta=90.00 gamma=106.21
Last column: nearest neighbours and their distance in Å.
Fractional positions:
N (0.2657, 0.5315, 0.3717)  1 Mo 1.91
Pr (0.9082, 0.8165, 0.2500)  6 N 2.61-2.87
N (0.7343, 0.4685, 0.6283)  1 Mo 1.91
N (0.4324, 0.8648, 0.7500)  2 Mo 2.13
N (0.0000, 0.0000, 0.5000)  4 Pm 2.41
Mo (0.1669, 0.3339, 0.2500)  4 N 1.91-2.13
Pm (0.3693, 0.7387, 0.5399)  6 N 2.41-2.68
N (0.2657, 0.5315, 0.1283)  1 Mo 1.91
Pm (0.3693, 0.7387, 0.9601)  6 N 2.41-2.68
Pm (0.6307, 0.2613, 0.4601)  6 N 2.41-2.68
Pr (0.0918, 0.1835, 0.7500)  6 N 2.61-2.87
Pm (0.6307, 0.2613, 0.0399)  6 N 2.41-2.68
N (0.7343, 0.4685, 0.8717)  1 Mo 1.91
N (0.0000, 0.0000, 0.0000)  4 Pm 2.41
N (0.5676, 0.1352, 0.2500)  2 Mo 2.13
Mo (0.8331, 0.6661, 0.7500)  4 N 1.91-2.13


Record 10
Density functional theory data (PBE) for a relaxed TaInH3 crystal.

Properties
- Crystal system: cubic
- Calculated total energy: -3.756 eV per atom
- DOS(E_F): 3.83 states/eV/f.u.

Unit cell a=3.7527 b=3.7527 c=3.7527 alpha=90.00 beta=90.00 gamma=90.00
Last column: nearest neighbours and their distance in Å.
Fractional positions:
Ta (0.5000, 0.5000, 0.5000)  12 H 2.65
H (0.0000, 0.0000, 0.5000)  2 In 1.88
In (0.0000, 0.0000, 0.0000)  6 H 1.88
H (0.5000, 0.0000, 0.0000)  2 In 1.88
H (0.0000, 0.5000, 0.0000)  2 In 1.88


Record 11
Density functional theory data (PBE) for a relaxed Zn2Sn crystal.

Properties
- Crystal system: triclinic
- Calculated total energy: -2.105 eV per atom
- DOS(E_F): 0.70 states/eV/f.u.

Unit cell a=2.9988 b=6.3935 c=6.4280 alpha=98.63 beta=92.08 gamma=86.04
Last column: nearest neighbours and their distance in Å.
Fractional positions:
Zn (0.7421, 0.1757, 0.5460)  5 Zn 2.62-2.74, 2 Sn 2.81-2.84
Zn (0.2579, 0.8243, 0.4540)  5 Zn 2.62-2.74, 2 Sn 2.81-2.84
Sn (0.5227, 0.4282, 0.2235)  3 Zn 2.81-3.07, 3 Sn 3.00-3.14
Zn (0.7471, 0.9479, 0.1511)  5 Zn 2.54-2.73
Zn (0.2529, 0.0521, 0.8489)  5 Zn 2.54-2.73
Sn (0.4773, 0.5718, 0.7765)  3 Zn 2.81-3.07, 3 Sn 3.00-3.14


Record 12
Density functional theory data (PBE) for a relaxed KBa2Rh crystal.

Properties
- Crystal system: tetragonal
- Calculated total energy: -2.954 eV per atom
- DOS(E_F): 1.99 states/eV/f.u.

Unit cell a=9.1397 b=9.1397 c=8.8222 alpha=58.80 beta=58.80 gamma=90.00
Last column: nearest neighbours and their distance in Å.
Fractional positions:
K (0.2500, 0.7500, 0.5000)  8 Ba 4.74-5.10
Rh (0.7500, 0.2500, 0.5000)  4 Ba 2.82
Rh (0.0000, 0.0000, 0.0000)  4 Ba 2.82
Ba (0.3750, 0.2020, 0.7500)  2 Rh 2.82
Ba (0.7980, 0.1250, 0.2500)  2 Rh 2.82
Ba (0.9520, 0.6250, 0.2500)  2 Rh 2.82
K (0.5000, 0.5000, 0.0000)  8 Ba 4.74-5.10
Ba (0.8750, 0.0480, 0.7500)  2 Rh 2.82